(1)
ZrHgOs | GGA-PBE | optimized geometry

Calculated values
E_tot ... -6.5261 eV/atom
DFT formation energy ... 167 meV/atom
Distance to the lowest polymorph of the same formula ... 0.1930 eV/atom
DOS(E_F) ... 1.78 states/eV/f.u.

Cell: 4.7159 4.7159 2.9120 Å, 90.00 90.00 120.00°
Fractional coordinates of all 3 atoms:
Os (0.6667, 0.3333, 0.3358)
Hg (0.0000, 0.0000, 0.0488)
Zr (0.3333, 0.6667, 0.6154)

=====

(2)
LiMg2TlHg | GGA-PBE | optimized geometry

Calculated values
E_tot ... -1.3330 eV/atom
DFT formation energy ... 221 meV/atom
DOS(E_F) ... 3.01 states/eV/f.u.

Cell: 5.2650 5.8041 5.2650 Å, 90.00 90.00 90.00°
Fractional coordinates of all 5 atoms:
Mg (0.0000, 0.0000, 0.5000)
Mg (0.5000, 0.0000, 0.0000)
Li (0.5000, 0.5000, 0.5000)
Tl (0.0000, 0.5000, 0.0000)
Hg (0.0000, 0.0000, 0.0000)

=====

(3)
Ba5HPdAu2 | GGA-PBE | optimized geometry

Calculated values
E_tot ... -3.2694 eV/atom
DOS(E_F) ... 4.76 states/eV/f.u.

Cell: 4.5899 10.2135 14.2469 Å, 90.00 90.00 102.98°
Fractional coordinates of all 18 atoms:
Ba (0.0356, 0.0714, 0.9995)
Ba (0.5020, 0.0040, 0.2616)
Ba (0.9644, 0.9286, 0.4995)
Ba (0.3491, 0.6981, 0.0199)
Ba (0.2981, 0.5963, 0.6820)
Ba (0.3145, 0.6289, 0.3720)
Ba (0.7019, 0.4037, 0.1820)
Ba (0.6855, 0.3711, 0.8720)
Ba (0.6509, 0.3020, 0.5199)
Ba (0.4980, 0.9959, 0.7616)
Au (0.8811, 0.7621, 0.1998)
Au (0.1217, 0.2436, 0.3391)
Au (0.1189, 0.2379, 0.6998)
Au (0.8783, 0.7564, 0.8391)
Pd (0.1923, 0.3846, 0.0283)
Pd (0.8077, 0.6154, 0.5283)
H (0.4454, 0.8909, 0.4217)
H (0.5546, 0.1091, 0.9217)

=====

(4)
AlI2O2 | GGA-PBE | optimized geometry

Calculated values
E_tot ... -2.7064 eV/atom
Formation energy without anion corrections ... 0.645 eV per atom
Distance to the lowest polymorph of the same formula ... 1.0485 eV/atom
DOS(E_F) ... 3.57 states/eV/f.u.

Cell: 4.8662 4.8662 4.0782 Å, 90.00 90.00 90.00°
Last column: magnetic moment on the atom in μB.
Fractional coordinates of all 5 atoms:
O (0.0000, 0.0000, 0.5000)  0.19
O (0.0000, 0.0000, 0.0000)  -0.02
Al (0.5000, 0.5000, 0.5000)  0.00
I (0.5000, 0.0000, 0.0000)  0.01
I (0.0000, 0.5000, 0.0000)  0.01

=====

(5)
NaCeHg2 | GGA-PBE | optimized geometry

Calculated values
E_tot ... -2.1095 eV/atom
DFT formation energy ... -145 meV/atom
DOS(E_F) ... 5.70 states/eV/f.u.

Cell: 3.5100 3.5100 10.4482 Å, 80.33 80.33 60.00°
Last column: magnetic moment on the atom in μB.
Fractional coordinates of all 4 atoms:
Hg (0.7487, 0.7487, 0.7540)  0.00
Hg (0.2513, 0.2513, 0.2460)  0.00
Na (0.0000, 0.0000, 0.0000)  0.00
Ce (0.5000, 0.5000, 0.5000)  0.85

=====

(6)
Pm7BiSe5 | GGA-PBE | optimized geometry

Calculated values
E_tot ... -5.7564 eV/atom
Formation energy without anion corrections ... -1.560 eV per atom
DOS(E_F) ... 7.92 states/eV/f.u.

Cell: 4.2211 7.1834 25.0988 Å, 89.99 90.00 107.09°
Fractional coordinates of all 26 atoms:
Pm (0.1845, 0.3690, 0.1755)
Pm (0.8158, 0.6316, 0.6755)
Pm (0.3624, 0.7249, 0.5373)
Pm (0.1848, 0.3695, 0.3245)
Pm (0.6380, 0.2760, 0.0373)
Pm (0.8161, 0.6322, 0.8245)
Pm (0.6381, 0.2762, 0.4627)
Pm (0.4823, 0.9646, 0.2500)
Pm (0.9084, 0.8167, 0.1140)
Pm (0.0922, 0.1844, 0.8860)
Pm (0.9086, 0.8172, 0.3860)
Pm (0.0919, 0.1839, 0.6140)
Pm (0.3626, 0.7251, 0.9627)
Pm (0.5183, 0.0365, 0.7500)
Bi (0.1926, 0.3851, 0.7501)
Bi (0.8080, 0.6160, 0.2499)
Se (0.7237, 0.4474, 0.5705)
Se (0.2769, 0.5537, 0.4295)
Se (0.2767, 0.5534, 0.0705)
Se (0.5491, 0.0983, 0.1416)
Se (0.5494, 0.0988, 0.3584)
Se (0.0003, 0.0006, 0.0000)
Se (0.7239, 0.4477, 0.9295)
Se (0.4511, 0.9023, 0.6416)
Se (0.4515, 0.9029, 0.8584)
Se (0.0003, 0.0006, 0.5000)

=====

(7)
K2TlOsRh | GGA-PBE | optimized geometry

Calculated values
E_tot ... -3.5710 eV/atom
DFT formation energy ... 1057 meV/atom
DOS(E_F) ... 7.35 states/eV/f.u.

Cell: 6.2468 4.6121 6.2468 Å, 90.00 90.00 90.00°
Last column: magnetic moment on the atom in μB.
Fractional coordinates of all 5 atoms:
K (0.5000, 0.0000, 0.0000)  0.01
K (0.0000, 0.0000, 0.5000)  0.01
Rh (0.0000, 0.5000, 0.0000)  0.24
Os (0.0000, 0.0000, 0.0000)  0.85
Tl (0.5000, 0.5000, 0.5000)  0.02

=====

(8)
Ti3Ga5Te12 | GGA-PBE | optimized geometry

Calculated values
E_tot ... -4.0664 eV/atom
Formation energy without anion corrections ... -0.240 eV per atom
DOS(E_F) ... 13.10 states/eV/f.u.

Cell: 14.4258 14.4258 14.4258 Å, 109.47 109.47 109.47°
Last column: magnetic moment on the atom in μB.
Fractional coordinates of all 80 atoms:
Te (0.1340, 0.7246, 0.5497)  -0.04
Te (0.4157, 0.0497, 0.3251)  -0.04
Te (0.9094, 0.0843, 0.6340)  -0.04
Te (0.0497, 0.6340, 0.7246)  -0.04
Te (0.0497, 0.4157, 0.8251)  -0.04
Te (0.5843, 0.6340, 0.4094)  -0.04
Te (0.9503, 0.5843, 0.1749)  -0.04
Te (0.0843, 0.9094, 0.1340)  -0.04
Te (0.1340, 0.4094, 0.0843)  -0.04
Te (0.9157, 0.8251, 0.5497)  -0.04
Te (0.7246, 0.1340, 0.0497)  -0.04
Te (0.6749, 0.4503, 0.5843)  -0.04
Te (0.2246, 0.6749, 0.0906)  -0.04
Te (0.2754, 0.8660, 0.9503)  -0.04
Te (0.3251, 0.7754, 0.4094)  -0.04
Te (0.9503, 0.3660, 0.2754)  -0.04
Te (0.8660, 0.2754, 0.4503)  -0.04
Te (0.3660, 0.9503, 0.7754)  -0.04
Te (0.0906, 0.9157, 0.3660)  -0.04
Te (0.3660, 0.4157, 0.0906)  -0.04
Te (0.6749, 0.2246, 0.5906)  -0.04
Te (0.4094, 0.2754, 0.3251)  -0.04
Te (0.5906, 0.8660, 0.4157)  -0.04
Te (0.9094, 0.8251, 0.7754)  -0.04
Te (0.0843, 0.1749, 0.4503)  -0.04
Te (0.5497, 0.3251, 0.9157)  -0.04
Te (0.4094, 0.1340, 0.5843)  -0.04
Te (0.1749, 0.0906, 0.7246)  -0.04
Te (0.7754, 0.3251, 0.9094)  -0.04
Te (0.2754, 0.4094, 0.8251)  -0.04
Te (0.4503, 0.6749, 0.0843)  -0.04
Te (0.5843, 0.9503, 0.6749)  -0.04
Te (0.5497, 0.2246, 0.1340)  -0.04
Te (0.6340, 0.5843, 0.9094)  -0.04
Te (0.0906, 0.1749, 0.2246)  -0.04
Te (0.4503, 0.7754, 0.8660)  -0.04
Te (0.2246, 0.5497, 0.6340)  -0.04
Te (0.8251, 0.9094, 0.2754)  -0.04
Te (0.7246, 0.5906, 0.1749)  -0.04
Te (0.9157, 0.0906, 0.8660)  -0.04
Te (0.7754, 0.4503, 0.3660)  -0.04
Te (0.8251, 0.9157, 0.0497)  -0.04
Te (0.8660, 0.5906, 0.9157)  -0.04
Te (0.5906, 0.7246, 0.6749)  -0.04
Te (0.4157, 0.3660, 0.5906)  -0.04
Te (0.1749, 0.0843, 0.9503)  -0.04
Te (0.6340, 0.0497, 0.2246)  -0.04
Te (0.3251, 0.5497, 0.4157)  -0.04
Ti (0.2500, 0.6250, 0.8750)  0.85
Ti (0.8750, 0.7500, 0.1250)  0.85
Ti (0.3750, 0.6250, 0.2500)  0.85
Ti (0.6250, 0.2500, 0.3750)  0.85
Ti (0.7500, 0.3750, 0.1250)  0.85
Ti (0.2500, 0.1250, 0.3750)  0.85
Ti (0.7500, 0.8750, 0.6250)  0.85
Ti (0.8750, 0.1250, 0.2500)  0.85
Ti (0.6250, 0.3750, 0.7500)  0.85
Ti (0.3750, 0.7500, 0.6250)  0.85
Ti (0.1250, 0.8750, 0.7500)  0.85
Ti (0.1250, 0.2500, 0.8750)  0.85
Ga (0.5000, 0.5000, 0.5000)  0.00
Ga (0.2500, 0.8750, 0.1250)  0.02
Ga (0.0000, 0.5000, 0.0000)  0.00
Ga (0.1250, 0.7500, 0.3750)  0.02
Ga (0.3750, 0.1250, 0.7500)  0.02
Ga (0.6250, 0.7500, 0.8750)  0.02
Ga (0.1250, 0.3750, 0.2500)  0.02
Ga (0.5000, 0.5000, 0.0000)  0.00
Ga (0.0000, 0.5000, 0.5000)  0.00
Ga (0.8750, 0.6250, 0.7500)  0.02
Ga (0.5000, 0.0000, 0.0000)  0.00
Ga (0.3750, 0.2500, 0.1250)  0.02
Ga (0.8750, 0.2500, 0.6250)  0.02
Ga (0.0000, 0.0000, 0.0000)  0.00
Ga (0.0000, 0.0000, 0.5000)  0.00
Ga (0.2500, 0.3750, 0.6250)  0.02
Ga (0.5000, 0.0000, 0.5000)  0.00
Ga (0.7500, 0.1250, 0.8750)  0.02
Ga (0.7500, 0.6250, 0.3750)  0.02
Ga (0.6250, 0.8750, 0.2500)  0.02

=====

Which value of DOS(E_F) does entry 7 give? 7.35 states/eV/f.u.

=====

The lowest DOS(E_F) belongs to which entry? ZrHgOs